First-principles (PBEsol) data for crystalline GaAs2SeO at its relaxed geometry, as listed in the Alexandria database.

Properties
* raw formation energy: 251 meV per atom
* Fermi-level density of states: 0.649 states/eV per atom

Unit cell a=4.311 b=4.311 c=4.636 alpha=90.00 beta=90.00 gamma=90.00
Space group P4/mmm (No. 123)
One atom of each set of equivalent atoms:
1 Ga 0.000 0.000 0.000 [1 per cell]
2 As 0.000 0.500 0.500 [2 per cell]
3 Se 0.500 0.500 0.000 [1 per cell]
4 O 0.500 0.500 0.500 [1 per cell]

First-principles (PBEsol) data for crystalline Y3SiS2 at its relaxed geometry, as listed in the Alexandria database.

Properties
* raw formation energy: -1740 meV per atom
* Fermi-level density of states: 0.241 states/eV per atom

Unit cell a=3.954 b=5.559 c=11.822 alpha=90.00 beta=90.00 gamma=90.00
Space group Immm (No. 71)
One atom of each set of equivalent atoms:
1 Y 0.000 0.000 0.000 [2 per cell]
2 Y 0.000 0.000 0.333 [4 per cell]
3 Si 0.000 0.500 0.000 [2 per cell]
4 S 0.000 0.500 0.334 [4 per cell]

First-principles (PBEsol) data for crystalline CoSb3Mo at its relaxed geometry, as listed in the Alexandria database.

Properties
* raw formation energy: 905 meV per atom
* Fermi-level density of states: 0.820 states/eV per atom
* offset from the most stable computed form: 0.0000 eV/atom

Unit cell a=4.821 b=4.821 c=4.821 alpha=90.00 beta=90.00 gamma=90.00
Space group Pm-3m (No. 221)
One atom of each set of equivalent atoms:
1 Co 0.000 0.000 0.000 [1 per cell]
2 Sb 0.000 0.000 0.500 [3 per cell]
3 Mo 0.500 0.500 0.500 [1 per cell]

First-principles (PBEsol) data for crystalline Li2NiO2 at its relaxed geometry, as listed in the Alexandria database.

Properties
* raw formation energy: -1255 meV per atom
* offset from the most stable computed form: 0.2535 eV/atom

Unit cell a=3.0283 b=3.0283 c=18.5688 alpha=90.00 beta=90.00 gamma=120.00
Space group R-3m (No. 166, hexagonal axes)
One atom of each set of equivalent atoms:
1 Li 0.0000 0.0000 0.2371 [6 per cell]
2 Ni 0.0000 0.0000 0.0000 [3 per cell]
3 O 0.0000 0.0000 0.3962 [6 per cell]

First-principles (PBEsol) data for crystalline KS2N at its relaxed geometry, as listed in the Alexandria database.

Properties
* raw formation energy: 91 meV per atom
* Fermi-level density of states: 0.140 states/eV per atom

Unit cell a=5.1328 b=5.1328 c=17.5279 alpha=90.00 beta=90.00 gamma=120.00
Space group R-3m (No. 166, hexagonal axes)
One atom of each set of equivalent atoms:
1 K 0.0000 0.0000 0.0000 [3 per cell]
2 S 0.0000 0.0000 0.4103 [6 per cell]
3 N 0.0000 0.0000 0.5000 [3 per cell]

First-principles (PBEsol) data for crystalline YAgS2 at its relaxed geometry, as listed in the Alexandria database.

Properties
* raw formation energy: -1323 meV per atom
* Fermi-level density of states: 0.000 states/eV per atom

Unit cell a=3.9148 b=3.9148 c=20.4659 alpha=90.00 beta=90.00 gamma=120.00
Space group R3m (No. 160, hexagonal axes)
One atom of each set of equivalent atoms:
1 Y 0.0000 0.0000 0.0000 [3 per cell]
2 Ag 0.0000 0.0000 0.8523 [3 per cell]
3 S 0.0000 0.0000 0.2529 [3 per cell]
4 S 0.0000 0.0000 0.7349 [3 per cell]

First-principles (PBEsol) data for crystalline TlWSeF2 at its relaxed geometry, as listed in the Alexandria database.

Properties
* raw formation energy: -846 meV per atom
* Fermi-level density of states: 0.587 states/eV per atom

Unit cell a=4.280 b=4.280 c=4.884 alpha=90.00 beta=90.00 gamma=90.00
Space group P4/mmm (No. 123)
One atom of each set of equivalent atoms:
1 Tl 0.000 0.000 0.000 [1 per cell]
2 W 0.500 0.500 0.500 [1 per cell]
3 Se 0.500 0.500 0.000 [1 per cell]
4 F 0.000 0.500 0.500 [2 per cell]

First-principles (PBEsol) data for crystalline CrNiCl2 at its relaxed geometry, as listed in the Alexandria database.

Properties
* raw formation energy: 109 meV per atom
* Fermi-level density of states: 0.557 states/eV per atom

Unit cell a=3.447 b=6.048 c=6.580 alpha=90.00 beta=90.00 gamma=90.00
Space group Cmmm (No. 65)
One atom of each set of equivalent atoms:
1 Cr 0.000 0.000 0.000 [2 per cell]
2 Ni 0.000 0.000 0.500 [2 per cell]
3 Cl 0.000 0.500 0.264 [4 per cell]

First-principles (PBEsol) data for crystalline Tc2TeCl at its relaxed geometry, as listed in the Alexandria database.

Properties
* raw formation energy: 859 meV per atom
* Fermi-level density of states: 1.296 states/eV per atom
* offset from the most stable computed form: 0.0505 eV/atom

Unit cell a=5.989 b=8.585 c=3.012 alpha=90.00 beta=118.93 gamma=90.00
Space group C2/m (No. 12)
One atom of each set of equivalent atoms:
1 Tc 0.250 0.250 0.000 [4 per cell]
2 Te 0.000 0.000 0.000 [2 per cell]
3 Cl 0.000 0.500 0.000 [2 per cell]

First-principles (PBEsol) data for crystalline MnP4O12 at its relaxed geometry, as listed in the Alexandria database.

Properties
* raw formation energy: -1969 meV per atom
* offset from the most stable computed form: 0.0000 eV/atom

Unit cell a=5.020 b=13.268 c=7.269 alpha=90.00 beta=101.57 gamma=90.00
Space group P2_1 (No. 4)
One atom of each set of equivalent atoms:
1 Mn 0.007 0.000 0.007 [2 per cell]
2 P 0.275 0.596 0.368 [2 per cell]
3 P 0.382 0.947 0.404 [2 per cell]
4 P 0.470 0.364 0.935 [2 per cell]
5 P 0.480 0.136 0.944 [2 per cell]
6 O 0.126 0.509 0.248 [2 per cell]
7 O 0.129 0.689 0.394 [2 per cell]
8 O 0.132 0.985 0.264 [2 per cell]
9 O 0.197 0.379 0.990 [2 per cell]
10 O 0.210 0.121 0.002 [2 per cell]
11 O 0.284 0.577 0.941 [2 per cell]
12 O 0.300 0.927 0.956 [2 per cell]
13 O 0.346 0.897 0.576 [2 per cell]
14 O 0.421 0.545 0.560 [2 per cell]
15 O 0.442 0.751 0.019 [2 per cell]
16 O 0.447 0.377 0.718 [2 per cell]
17 O 0.459 0.119 0.729 [2 per cell]

First-principles (PBEsol) data for crystalline LiNiP2 at its relaxed geometry, as listed in the Alexandria database.

Properties
* Fermi-level density of states: 0.331 states/eV per atom
* ΔH_f (0 K): -0.18 eV/atom

Unit cell a=3.216 b=3.216 c=4.547 alpha=90.00 beta=90.00 gamma=90.00
Space group P4mm (No. 99)
One atom of each set of equivalent atoms:
1 Li 0.000 0.000 0.000 [1 per cell]
2 Ni 0.500 0.500 0.268 [1 per cell]
3 P 0.000 0.000 0.501 [1 per cell]
4 P 0.500 0.500 0.758 [1 per cell]

First-principles (PBEsol) data for crystalline K2BaBe at its relaxed geometry, as listed in the Alexandria database.

Properties
* Fermi-level density of states: 1.101 states/eV per atom
* ΔH_f (0 K): 0.73 eV/atom

Unit cell a=4.4031 b=4.4031 c=35.9585 alpha=90.00 beta=90.00 gamma=120.00
Space group R-3m (No. 166, hexagonal axes)
One atom of each set of equivalent atoms:
1 K 0.0000 0.0000 0.2263 [6 per cell]
2 Ba 0.0000 0.0000 0.0000 [3 per cell]
3 Be 0.0000 0.0000 0.5000 [3 per cell]

no.,DFT total energy (eV per formula unit)
1,-21.40
2,-45.42
3,-28.65
4,-26.86
5,-18.07
6,-24.19
7,-28.37
8,-19.98
9,-24.63
10,-129.39
11,-20.43
12,-5.50